{
  "formula": "La3Dy2Er4",
  "functional": "PBE-GGA",
  "state": "optimized geometry",
  "lattice": [[3.599, 0.000, 0.000], [-1.799, 7.834, -0.025], [0.000, 2.549, 10.449]],
  "species": ["La", "La", "La", "Dy", "Dy", "Er", "Er", "Er", "Er"],
  "frac_coords": [[0.334, 0.668, 0.556], [0.000, 0.000, 0.000], [0.666, 0.332, 0.444], [0.333, 0.666, 0.220], [0.667, 0.334, 0.780], [0.667, 0.334, 0.110], [0.999, 0.999, 0.670], [0.001, 0.001, 0.330], [0.333, 0.666, 0.890]],
  "ef_ev_per_atom": 0.026,
  "dos_ef_per_ev_cell": 12.0,
  "e_above_lowest_polymorph_mev_per_atom": 0,
  "spacegroup": "C2/m"
}